Here is an optimized crystal structure of TlAgTe3Pd from the Open Quantum Materials Database. Energies are from PBE.

## Properties
energy	-0.2542	Ry per atom

a b c (Å): 7.446 7.446 11.203
angles (deg): 90.00 90.00 148.54
Element x y z (fractional)
Tl 0.249 0.751 0.750
Tl 0.751 0.249 0.250
Ag 0.088 0.912 0.250
Ag 0.912 0.088 0.750
Te 0.126 0.874 0.007
Te 0.126 0.874 0.493
Te 0.444 0.556 0.250
Te 0.556 0.444 0.750
Te 0.874 0.126 0.507
Te 0.874 0.126 0.993
Pd 0.500 0.500 0.000
Pd 0.500 0.500 0.500